# Na3Nd2FeO6, optimized geometry, DFT GGA+U
data_Na3Nd2FeO6
_cell_length_a 5.911
_cell_length_b 10.313
_cell_length_c 5.903
_cell_angle_alpha 90.00
_cell_angle_beta 108.52
_cell_angle_gamma 90.00
_space_group_name_H-M_alt 'C 1 2/m 1'
_space_group_IT_number 12
_space_group_name_Hall '-C 2y'
loop_
_atom_site_label
_atom_site_fract_x
_atom_site_fract_y
_atom_site_fract_z
_atom_site_occupancy
Na1 0.000 0.000 0.000 1
Na2 0.000 0.353 0.000 1
Nd1 0.000 0.167 0.500 1
Fe1 0.000 0.500 0.500 1
O1 0.217 0.350 0.711 1
O2 0.238 0.500 0.293 1
# uncorrected energy	-75.4	eV/f.u.